Record 1
A relaxed LiNbHgPt crystal, computed with GGA-PBE.

Properties
As for the relative energy among the computed polymorphs: 1.085 kcal/mol of atoms. As for the crystal system: cubic. The space-group type is F-43m.

Lattice parameters (Å, degrees): 6.4757 6.4757 6.4757 90.00 90.00 90.00
Element x y z (fractional)
Li (0.0000, 0.0000, 0.0000)
Li (0.0000, 0.5000, 0.5000)
Li (0.5000, 0.0000, 0.5000)
Li (0.5000, 0.5000, 0.0000)
Nb (0.0000, 0.0000, 0.5000)
Nb (0.0000, 0.5000, 0.0000)
Nb (0.5000, 0.0000, 0.0000)
Nb (0.5000, 0.5000, 0.5000)
Hg (0.2500, 0.2500, 0.7500)
Hg (0.2500, 0.7500, 0.2500)
Hg (0.7500, 0.2500, 0.2500)
Hg (0.7500, 0.7500, 0.7500)
Pt (0.2500, 0.2500, 0.2500)
Pt (0.2500, 0.7500, 0.7500)
Pt (0.7500, 0.2500, 0.7500)
Pt (0.7500, 0.7500, 0.2500)

Record 2
A relaxed KSmSnTe3 crystal, computed with GGA-PBE.

Properties
As for the relative energy among the computed polymorphs: 0.000 kcal/mol of atoms. As for the crystal system: orthorhombic. The space-group type is Pnma.

Lattice parameters (Å, degrees): 16.5917 4.4727 12.7383 90.00 90.00 90.00
Element x y z (fractional)
K (0.2302, 0.2500, 0.0809)
K (0.2698, 0.7500, 0.5809)
K (0.7302, 0.2500, 0.4191)
K (0.7698, 0.7500, 0.9191)
Sm (0.0064, 0.7500, 0.6508)
Sm (0.4936, 0.2500, 0.1508)
Sm (0.5064, 0.7500, 0.8492)
Sm (0.9936, 0.2500, 0.3492)
Sn (0.0376, 0.2500, 0.9191)
Sn (0.4624, 0.7500, 0.4191)
Sn (0.5376, 0.2500, 0.5809)
Sn (0.9624, 0.7500, 0.0809)
Te (0.0949, 0.7500, 0.2280)
Te (0.1085, 0.2500, 0.5425)
Te (0.1388, 0.7500, 0.8333)
Te (0.3612, 0.2500, 0.3333)
Te (0.3915, 0.7500, 0.0425)
Te (0.4051, 0.2500, 0.7280)
Te (0.5949, 0.7500, 0.2720)
Te (0.6085, 0.2500, 0.9575)
Te (0.6388, 0.7500, 0.6667)
Te (0.8612, 0.2500, 0.1667)
Te (0.8915, 0.7500, 0.4575)
Te (0.9051, 0.2500, 0.7720)

Record 3
A relaxed InGaPd2 crystal, computed with GGA-PBE.

Properties
Its electronic total energy is -4.59 eV/atom. As for the crystal system: monoclinic. The space-group type is P2_1.

Lattice parameters (Å, degrees): 5.1240 5.1465 5.1408 90.00 92.47 90.00
Element x y z (fractional)
In (0.1574, 0.0000, 0.0914)
In (0.8426, 0.5000, 0.9086)
Ga (0.3393, 0.6872, 0.5903)
Ga (0.6607, 0.1872, 0.4097)
Pd (0.1518, 0.2138, 0.5956)
Pd (0.3668, 0.4916, 0.1241)
Pd (0.6332, 0.9916, 0.8759)
Pd (0.8482, 0.7138, 0.4044)

Record 4
A relaxed ScTa2Nb crystal, computed with GGA-PBE.

Properties
The formation energy is 18 kJ per mole of atoms. As for the crystal system: cubic. The space-group type is F-43m.

Lattice parameters (Å, degrees): 6.7128 6.7128 6.7128 90.00 90.00 90.00
Element x y z (fractional)
Sc (0.0000, 0.0000, 0.0000)
Sc (0.0000, 0.5000, 0.5000)
Sc (0.5000, 0.0000, 0.5000)
Sc (0.5000, 0.5000, 0.0000)
Ta (0.0000, 0.0000, 0.5000)
Ta (0.0000, 0.5000, 0.0000)
Ta (0.2500, 0.2500, 0.7500)
Ta (0.2500, 0.7500, 0.2500)
Ta (0.5000, 0.0000, 0.0000)
Ta (0.5000, 0.5000, 0.5000)
Ta (0.7500, 0.2500, 0.2500)
Ta (0.7500, 0.7500, 0.7500)
Nb (0.2500, 0.2500, 0.2500)
Nb (0.2500, 0.7500, 0.7500)
Nb (0.7500, 0.2500, 0.7500)
Nb (0.7500, 0.7500, 0.2500)

Record 5
A relaxed Tb2Cu2SbAsP2 crystal, computed with GGA-PBE.

Properties
Its electronic total energy is -5.35 eV/atom. As for the crystal system: tetragonal. The space-group type is P-4m2.

Lattice parameters (Å, degrees): 3.9240 3.9240 9.8434 90.00 90.00 90.00
Element x y z (fractional)
Tb (0.0000, 0.5000, 0.2458)
Tb (0.5000, 0.0000, 0.7542)
Cu (0.0000, 0.0000, 0.0000)
Cu (0.5000, 0.5000, 0.0000)
Sb (0.5000, 0.5000, 0.5000)
As (0.0000, 0.0000, 0.5000)
P (0.0000, 0.5000, 0.8518)
P (0.5000, 0.0000, 0.1482)

Record 6
A relaxed NaLuSc crystal, computed with GGA-PBE.

Properties
As for the relative energy among the computed polymorphs: 0.000 kcal/mol of atoms. As for the crystal system: cubic. The space-group type is F-43m.

Lattice parameters (Å, degrees): 7.2381 7.2381 7.2381 90.00 90.00 90.00
Element x y z (fractional)
Na (0.0000, 0.0000, 0.0000)
Na (0.0000, 0.5000, 0.5000)
Na (0.5000, 0.0000, 0.5000)
Na (0.5000, 0.5000, 0.0000)
Lu (0.2500, 0.2500, 0.7500)
Lu (0.2500, 0.7500, 0.2500)
Lu (0.7500, 0.2500, 0.2500)
Lu (0.7500, 0.7500, 0.7500)
Sc (0.2500, 0.2500, 0.2500)
Sc (0.2500, 0.7500, 0.7500)
Sc (0.7500, 0.2500, 0.7500)
Sc (0.7500, 0.7500, 0.2500)